--- one ---
Material: TaRu2Pt
Method: DFT, SCAN
State: single point on PBEsol structure

Output
For the density of states at the Fermi level, the calculation gives 0.575 states/eV/atom. The magnetic moment comes out at 0.000 μB per cell.

Lattice parameters (Å, degrees): 4.7603 4.7603 4.7603 132.05 132.05 70.14
Fractional positions:
1 Ta 0.0000 0.0000 0.0000
2 Ru 0.2500 0.7500 0.5000
3 Ru 0.5000 0.5000 0.0000
4 Pt 0.7500 0.2500 0.5000

=====

--- two ---
Material: TaRu2Pt
Method: DFT, SCAN
State: single point on PBEsol structure

Output
For the density of states at the Fermi level, the calculation gives 0.792 states/eV/atom. The magnetic moment comes out at 0.002 μB per cell.

Lattice parameters (Å, degrees): 3.8932 3.8932 3.8304 90.00 90.00 90.00
Fractional positions:
1 Ta 0.0000 0.0000 0.0000
2 Ru 0.0000 0.5000 0.5000
3 Ru 0.5000 0.0000 0.5000
4 Pt 0.5000 0.5000 0.0000

=====

Which one is most stable, and which one is least stable? two is the most stable of them, while one is the least stable.

=====

--- one ---
Material: TcRuPt2
Method: DFT, SCAN
State: single point on PBEsol structure

Output
For the density of states at the Fermi level, the calculation gives 1.204 states/eV/atom. The magnetic moment comes out at 0.004 μB per cell.

Lattice parameters (Å, degrees): 4.7025 4.7025 4.7025 131.72 131.72 70.66
Fractional positions:
1 Tc 0.0000 0.0000 0.0000
2 Ru 0.2500 0.7500 0.5000
3 Pt 0.5000 0.5000 0.0000
4 Pt 0.7500 0.2500 0.5000

=====

--- two ---
Material: TcRuPt2
Method: DFT, SCAN
State: single point on PBEsol structure

Output
For the density of states at the Fermi level, the calculation gives 0.852 states/eV/atom. The magnetic moment comes out at 0.000 μB per cell.

Lattice parameters (Å, degrees): 2.7068 2.7068 7.7738 90.00 90.00 90.00
Fractional positions:
1 Tc 0.0000 0.0000 0.0000
2 Ru 0.5000 0.5000 0.7740
3 Pt 0.0000 0.0000 0.5196
4 Pt 0.5000 0.5000 0.2511

=====

--- three ---
Material: TcRuPt2
Method: DFT, SCAN
State: single point on PBEsol structure

Output
For the density of states at the Fermi level, the calculation gives 0.958 states/eV/atom. The magnetic moment comes out at 0.000 μB per cell.

Lattice parameters (Å, degrees): 2.7053 3.8269 5.4953 90.00 90.00 90.00
Fractional positions:
1 Tc 0.0000 0.0000 0.0000
2 Ru 0.5000 0.5000 0.7749
3 Pt 0.0000 0.0000 0.5184
4 Pt 0.5000 0.5000 0.2560

=====

--- four ---
Material: TcRuPt2
Method: DFT, SCAN
State: single point on PBEsol structure

Output
For the density of states at the Fermi level, the calculation gives 0.893 states/eV/atom. The magnetic moment comes out at 0.000 μB per cell.

Lattice parameters (Å, degrees): 9.1498 9.1498 9.1498 17.00 17.00 17.00
Fractional positions:
1 Tc 0.0000 0.0000 0.0000
2 Ru 0.7428 0.7428 0.7428
3 Pt 0.2495 0.2495 0.2495
4 Pt 0.4945 0.4945 0.4945

=====

Which one is most stable, and which one is least stable? two is the most stable of them, while four is the least stable.

=====

--- one ---
Material: Te2RuPt
Method: DFT, SCAN
State: single point on PBEsol structure

Output
For the density of states at the Fermi level, the calculation gives 0.789 states/eV/atom. The magnetic moment comes out at 0.000 μB per cell.

Lattice parameters (Å, degrees): 4.7259 4.7259 3.3154 90.00 90.00 90.00
Fractional positions:
1 Te 0.0000 0.5000 0.0000
2 Te 0.5000 0.0000 0.0000
3 Ru 0.0000 0.0000 0.5000
4 Pt 0.5000 0.5000 0.5000

=====

--- two ---
Material: Te2RuPt
Method: DFT, SCAN
State: single point on PBEsol structure

Output
For the density of states at the Fermi level, the calculation gives 0.565 states/eV/atom. The magnetic moment comes out at 0.000 μB per cell.

Lattice parameters (Å, degrees): 3.5866 3.5866 6.5130 90.00 90.00 90.00
Fractional positions:
1 Te 0.0000 0.0000 0.0000
2 Te 0.5000 0.5000 0.4514
3 Ru 0.5000 0.5000 0.8449
4 Pt 0.0000 0.0000 0.5995

=====

Which one is most stable, and which one is least stable? two is the most stable of them, while one is the least stable.